# Pm2Nd5Rh5

Crystalline Pm2Nd5Rh5 at its relaxed geometry (PBE, Alexandria).

Size of the total moment = 0.00 Bohr magnetons per cell
Fermi-level density of states = 0.597 states/eV per atom
ΔE_f = -0.595 eV per atom

Lattice parameters (Å, degrees): 3.9951 7.0584 12.2492 104.90 90.00 106.44
Last column: nearest neighbours and their distance in Å.
Fractional positions:
1 Pm 0.0382 0.0764 0.7848  4 Rh 2.82-2.89
2 Pm 0.9618 0.9236 0.2152  4 Rh 2.82-2.89
3 Nd 0.5000 0.0000 0.5000  4 Rh 2.85
4 Nd 0.6565 0.3130 0.0488  5 Rh 2.86-3.13
5 Nd 0.7433 0.4866 0.3579  5 Rh 2.85-3.11
6 Nd 0.2567 0.5134 0.6421  5 Rh 2.85-3.11
7 Nd 0.3435 0.6871 0.9512  5 Rh 2.86-3.13
8 Rh 0.1158 0.2317 0.4225  1 Pm 2.82, 5 Nd 2.85-2.89
9 Rh 0.6972 0.3943 0.8089  2 Pm 2.89, 5 Nd 3.02-3.13
10 Rh 0.3028 0.6057 0.1911  2 Pm 2.89, 5 Nd 3.02-3.13
11 Rh 0.8842 0.7683 0.5775  1 Pm 2.82, 5 Nd 2.85-2.89
12 Rh 0.0000 0.0000 0.0000  2 Pm 2.82, 4 Nd 2.86